Computed, not measured: an optimized crystal structure of BeAsSe2 at the PBE-GGA level of DFT.

Structure (CIF):
```
data_BeAsSe2
_chemical_formula_sum 'Be1 As1 Se2'
_space_group_name_H-M_alt 'P 1'
_space_group_IT_number 1
_space_group_name_Hall 'P 1'
_cell_length_a 8.854
_cell_length_b 8.854
_cell_length_c 8.854
_cell_angle_alpha 156.95
_cell_angle_beta 156.95
_cell_angle_gamma 32.82
loop_
_atom_site_label
_atom_site_type_symbol
_atom_site_fract_x
_atom_site_fract_y
_atom_site_fract_z
_atom_site_occupancy
Be1 Be 0.000 0.000 0.000 1
As1 As 0.750 0.250 0.500 1
Se1 Se 0.250 0.750 0.500 1
Se2 Se 0.500 0.500 0.000 1
```

Calculated values
The value obtained for the formation energy without anion corrections is 0.2989 eV/atom. The value obtained for the spin magnetization is 0.00 μB per formula unit. The density of states at the Fermi level is 0.439 states/eV per atom. As for the energy above the lowest structure with this stoichiometry: 415.0 meV per atom. Its electronic total energy is -3.537 eV/atom.